1.
4
Lattice="-1.931 3.634 2.766 1.931 -3.634 2.766 1.931 3.634 -2.766" Properties=species:S:1:pos:R:3 comment="CuSnAu2 | Alexandria | PBE | relaxed" formation_energy_ev_per_atom=-0.0294 sg="Imm2 (44)" vol_a3_per_atom=19.409 pbc="T T T"
Cu 0.000 0.000 0.000
Sn 1.931 0.000 1.922
Au 0.000 2.170 1.626
Au 0.000 5.099 1.626

=====

2.
8
Lattice="4.122 0.000 0.000 0.000 4.122 0.000 0.000 0.000 8.607" Properties=species:S:1:pos:R:3 comment="CuSnAu6 | Alexandria | PBE | relaxed" formation_energy_ev_per_atom=-0.0063 sg="P4/mmm (123)" relative_energy_ev_per_atom=0.012 vol_a3_per_atom=18.276 pbc="T T T"
Cu 0.000 0.000 0.000
Sn 0.000 0.000 4.304
Au 0.000 2.061 1.994
Au 0.000 2.061 6.613
Au 2.061 0.000 1.994
Au 2.061 0.000 6.613
Au 2.061 2.061 0.000
Au 2.061 2.061 4.304

=====

3.
20
Lattice="6.648 3.838 3.239 -6.648 3.838 3.239 0.000 -7.676 3.239" Properties=species:S:1:pos:R:3 comment="CuSn6Au3 | Alexandria | PBE | relaxed" formation_energy_ev_per_atom=0.0201 sg="R-3c (167)" vol_a3_per_atom=24.793 pbc="T T T"
Cu 0.000 0.000 0.000
Cu 0.000 0.000 4.858
Sn -6.373 -1.448 5.323
Sn -1.933 -6.243 4.394
Sn -1.933 -1.433 3.704
Sn -4.440 4.796 4.394
Sn -0.275 2.391 3.704
Sn -2.208 0.958 6.013
Sn 2.208 -0.958 3.704
Sn 0.275 -2.391 6.013
Sn 4.440 -4.796 5.323
Sn 1.933 1.433 6.013
Sn 1.933 6.243 5.323
Sn 6.373 1.448 4.394
Au -4.241 0.331 4.049
Au -2.407 -3.507 5.668
Au 1.834 -3.838 4.049
Au -1.834 3.838 5.668
Au 2.407 3.507 4.049
Au 4.241 -0.331 5.668

=====

4.
10
Lattice="7.220 0.000 0.000 0.000 7.220 0.000 0.000 0.000 4.166" Properties=species:S:1:pos:R:3 comment="CuSn2Au2 | Alexandria | PBE | relaxed" formation_energy_ev_per_atom=0.1013 sg="P4/mbm (127)" relative_energy_ev_per_atom=0.141 vol_a3_per_atom=21.716 pbc="T T T"
Cu 0.000 0.000 0.000
Cu 3.610 3.610 0.000
Sn 1.216 2.394 0.000
Sn 2.394 6.004 0.000
Sn 4.826 1.216 0.000
Sn 6.004 4.826 0.000
Au 1.016 4.626 2.083
Au 2.594 1.016 2.083
Au 4.626 6.204 2.083
Au 6.204 2.594 2.083